(1)
Density functional theory data (PBE-GGA) for crystalline TeBrCl2 at its relaxed geometry.

```
TeBrCl2
1.0
5.422 0.000 0.000
0.000 4.226 0.000
-2.697 0.000 6.826
Te Br Cl
1 1 2
Direct
0.000 0.000 0.000
0.865 0.500 0.729
0.122 0.500 0.244
0.502 0.000 0.003
```

The value obtained for the excess energy over the best structure of this formula in the dataset is 57 meV per atom. The value obtained for the density is 2956 kg/m³. As for the space-group type: Pm (6). The uncorrected formation energy comes out at -33 kJ per mole of atoms.

---

(2)
Density functional theory data (PBE-GGA) for crystalline RbGe2Ir at its relaxed geometry.

```
RbGe2Ir
1.0
-3.220 3.220 6.635
3.220 -3.220 6.635
3.220 3.220 -6.635
Rb Ge Ir
2 4 2
Direct
0.375 0.625 0.750
0.625 0.375 0.250
0.000 0.000 0.000
0.000 0.000 0.500
0.000 0.500 0.000
0.500 0.000 0.500
0.125 0.875 0.250
0.875 0.125 0.750
```

The calculation puts the formation energy at -0.1481 eV per atom. The value obtained for the excess energy over the best structure of this formula in the dataset is 3 meV per atom. The value obtained for the density is 5105 kg/m³. As for the space-group type: I4_1/amd (141).

---

(3)
Density functional theory data (PBE-GGA) for crystalline CuIrIO2 at its relaxed geometry.

```
CuIrIO2
1.0
3.737 0.000 0.000
0.000 3.737 0.000
0.000 0.000 6.321
Cu Ir I O
1 1 1 2
Direct
0.000 0.000 0.000
0.500 0.500 0.500
0.000 0.000 0.500
0.000 0.500 0.000
0.500 0.000 0.000
```

The value obtained for the excess energy over the best structure of this formula in the dataset is 911 meV per atom. The value obtained for the density is 7802 kg/m³. As for the space-group type: P4/mmm (123). The uncorrected formation energy comes out at 68 kJ per mole of atoms.

---

(4)
Density functional theory data (PBE-GGA) for crystalline RbLiMnRh2 at its relaxed geometry.

```
RbLiMnRh2
1.0
4.920 0.000 0.000
0.000 4.920 0.000
0.000 0.000 5.232
Rb Li Mn Rh
1 1 1 2
Direct
0.000 0.000 0.000
0.500 0.500 0.500
0.000 0.000 0.500
0.000 0.500 0.000
0.500 0.000 0.000
```

The calculation puts the formation energy at 1.9556 eV per atom. The value obtained for the density is 4630 kg/m³. As for the space-group type: P4/mmm (123).

---

(5)
Density functional theory data (PBE-GGA) for crystalline ZnCrPb2 at its relaxed geometry.

```
ZnCrPb2
1.0
1.777 1.026 8.733
-1.777 1.026 8.733
0.000 -2.052 8.733
Zn Cr Pb
1 1 2
Direct
0.000 0.000 0.000
0.500 0.500 0.500
0.250 0.250 0.250
0.750 0.750 0.750
```

The calculation puts the formation energy at 0.4505 eV per atom. The value obtained for the density is 9242 kg/m³. As for the space-group type: R-3m (166).

---

(6)
Density functional theory data (PBE-GGA) for crystalline NdPaN3 at its relaxed geometry.

```
NdPaN3
1.0
6.713 -2.045 0.000
6.713 2.045 0.000
-1.969 0.000 6.388
Nd Pa N
2 2 6
Direct
0.142 0.142 0.341
0.858 0.858 0.659
0.362 0.362 0.129
0.638 0.638 0.871
0.181 0.181 0.002
0.331 0.331 0.433
0.467 0.467 0.891
0.533 0.533 0.109
0.669 0.669 0.567
0.819 0.819 0.998
```

The value obtained for the density is 7903 kg/m³. As for the space-group type: C2/m (12). The uncorrected formation energy comes out at -125 kJ per mole of atoms.

---

Which of these has the lowest density? TeBrCl2

---

Please write out number 5 again, unchanged.
Density functional theory data (PBE-GGA) for crystalline ZnCrPb2 at its relaxed geometry.

```
ZnCrPb2
1.0
1.777 1.026 8.733
-1.777 1.026 8.733
0.000 -2.052 8.733
Zn Cr Pb
1 1 2
Direct
0.000 0.000 0.000
0.500 0.500 0.500
0.250 0.250 0.250
0.750 0.750 0.750
```

The calculation puts the formation energy at 0.4505 eV per atom. The value obtained for the density is 9242 kg/m³. As for the space-group type: R-3m (166).

---

density of number 3 (CuIrIO2)? 7802 kg/m³